# Pr5YZn6

An optimized crystal structure of Pr5YZn6 (PBE, the Alexandria database).

Cell and atoms, written as POSCAR:
```
Pr5YZn6
1.0
-5.026 1.291 0.384
-1.143 -5.777 4.464
-0.883 5.137 6.422
Y Zn Pr
1 6 5
Cartesian
0.000 0.000 0.000 Y
-2.277 -0.685 7.764 Zn
-1.694 2.258 5.489 Zn
-5.359 -1.608 5.780 Zn
-4.776 1.336 3.506 Zn
-3.381 -3.739 3.580 Zn
-2.789 -0.747 1.268 Zn
-1.972 2.135 2.258 Pr
-4.517 1.379 6.745 Pr
-3.937 4.293 4.548 Pr
-0.572 -2.889 2.232 Pr
-2.535 -0.729 4.525 Pr
```

E_form   -29.5 kJ/mol of atoms
Raw total energy   -3.4728 eV per atom